Record 1
A plane-wave DFT calculation with PBE was carried out for a relaxed structure of CdC.

Geometry as extended XYZ:
```
4
Lattice="2.771 -5.991 0.000 2.771 5.991 0.000 0.000 0.000 2.645" Properties=species:S:1:pos:R:3 pbc="T T T"
Cd 2.771 3.231 1.984
Cd 2.771 -3.231 0.661
C 2.771 -0.003 0.661
C 2.771 0.003 1.984
```

Energy of formation from the pure elements   649 meV per atom
Energy above the lowest structure with this stoichiometry   232 meV/atom
Total magnetic moment   0.00 μB per formula unit
Symmetry   No. 63
Uncorrected energy   -4.42 eV/atom
Calculated volume   21.96 Å³ per atom

=====

Record 2
A plane-wave DFT calculation with PBE was carried out for a relaxed structure of CdC2.

Geometry as extended XYZ:
```
6
Lattice="3.636 -1.367 0.000 3.636 1.367 0.000 -2.305 0.000 8.648" Properties=species:S:1:pos:R:3 pbc="T T T"
Cd 0.000 0.000 0.000
Cd 0.934 0.000 2.629
C -0.772 0.000 4.946
C -0.224 0.000 6.244
C 3.681 0.000 6.821
C 6.101 0.000 3.762
```

Energy of formation from the pure elements   969 meV per atom
Energy above the lowest structure with this stoichiometry   573 meV/atom
Total magnetic moment   0.00 μB per formula unit
Symmetry   No. 8
Uncorrected energy   -5.48 eV/atom
Calculated volume   14.33 Å³ per atom

=====

Record 3
A plane-wave DFT calculation with PBE was carried out for a relaxed structure of CdC.

Geometry as extended XYZ:
```
12
Lattice="2.687 0.000 0.000 0.000 12.601 0.000 0.000 0.000 5.917" Properties=species:S:1:pos:R:3 pbc="T T T"
Cd 0.672 1.368 0.810
Cd 0.672 4.932 0.810
Cd 0.672 9.451 2.329
Cd 2.016 3.150 3.588
Cd 2.016 7.669 5.107
Cd 2.016 11.233 5.107
C 0.672 0.118 2.725
C 0.672 3.150 5.458
C 0.672 6.183 2.725
C 2.016 6.419 3.192
C 2.016 9.451 0.459
C 2.016 12.483 3.192
```

Energy of formation from the pure elements   1163 meV per atom
Energy above the lowest structure with this stoichiometry   746 meV/atom
Total magnetic moment   0.00 μB per formula unit
Symmetry   No. 59
Uncorrected energy   -3.91 eV/atom
Calculated volume   16.70 Å³ per atom

=====

Record 4
A plane-wave DFT calculation with PBE was carried out for a relaxed structure of CdC2.

Geometry as extended XYZ:
```
6
Lattice="1.328 -12.166 0.000 1.328 12.166 0.000 0.000 0.000 2.575" Properties=species:S:1:pos:R:3 pbc="T T T"
Cd 1.328 8.952 1.931
Cd 1.328 -8.952 0.644
C 1.328 6.086 0.644
C 1.328 0.070 0.644
C 1.328 -0.070 1.931
C 1.328 -6.086 1.931
```

Energy of formation from the pure elements   1596 meV per atom
Energy above the lowest structure with this stoichiometry   1199 meV/atom
Total magnetic moment   0.00 μB per formula unit
Symmetry   No. 63
Uncorrected energy   -4.86 eV/atom
Calculated volume   13.86 Å³ per atom

=====

Record 5
A plane-wave DFT calculation with PBE was carried out for a relaxed structure of CdC.

Geometry as extended XYZ:
```
4
Lattice="4.026 0.000 0.000 -2.013 3.487 0.000 0.000 0.000 4.767" Properties=species:S:1:pos:R:3 pbc="T T T"
Cd 0.000 2.325 1.192
Cd 2.013 1.162 3.575
C 0.000 2.325 3.575
C 2.013 1.162 1.192
```

Energy of formation from the pure elements   1985 meV per atom
Energy above the lowest structure with this stoichiometry   1568 meV/atom
Total magnetic moment   0.00 μB per formula unit
Symmetry   No. 194
Uncorrected energy   -3.08 eV/atom
Calculated volume   16.73 Å³ per atom

=====

Record 6
A plane-wave DFT calculation with PBE was carried out for a relaxed structure of CeCdC.

Geometry as extended XYZ:
```
6
Lattice="1.710 -11.580 0.000 1.710 11.580 0.000 0.000 0.000 2.964" Properties=species:S:1:pos:R:3 pbc="T T T"
Ce 1.710 10.001 2.223
Ce 1.710 -10.001 0.741
Cd 1.710 6.926 0.741
Cd 1.710 -6.926 2.223
C 1.710 0.356 2.223
C 1.710 -0.356 0.741
```

Energy of formation from the pure elements   25 meV per atom
Total magnetic moment   0.13 μB per formula unit
Symmetry   No. 63
Uncorrected energy   -5.33 eV/atom
Calculated volume   19.56 Å³ per atom

=====

Record 7
A plane-wave DFT calculation with PBE was carried out for a relaxed structure of Ce4Cd2C.

Geometry as extended XYZ:
```
7
Lattice="-2.508 2.508 7.724 2.508 -2.508 7.724 2.508 2.508 -7.724" Properties=species:S:1:pos:R:3 pbc="T T T"
Ce 2.508 0.000 0.000
Ce 0.000 0.000 2.480
Ce 0.000 2.508 0.000
Ce 0.000 0.000 12.967
Cd 0.000 0.000 5.642
Cd 0.000 0.000 9.806
C 0.000 0.000 0.000
```

Energy of formation from the pure elements   -64 meV per atom
Total magnetic moment   3.09 μB per formula unit
Symmetry   No. 139
Uncorrected energy   -5.03 eV/atom
Calculated volume   27.77 Å³ per atom

=====

Record 8
A plane-wave DFT calculation with PBE was carried out for a relaxed structure of Ce3CdC.

Geometry as extended XYZ:
```
5
Lattice="4.983 0.000 0.000 0.000 4.983 0.000 0.000 0.000 4.983" Properties=species:S:1:pos:R:3 pbc="T T T"
Ce 0.000 0.000 2.492
Ce 0.000 2.492 0.000
Ce 2.492 0.000 0.000
Cd 2.492 2.492 2.492
C 0.000 0.000 0.000
```

Energy of formation from the pure elements   -165 meV per atom
Total magnetic moment   1.77 μB per formula unit
Symmetry   No. 221
Uncorrected energy   -5.75 eV/atom
Calculated volume   24.75 Å³ per atom

=====

Record 9
A plane-wave DFT calculation with PBE was carried out for a relaxed structure of Ce6Cd2C.

Geometry as extended XYZ:
```
18
Lattice="6.579 0.000 0.000 0.000 6.447 0.000 -6.000 0.000 10.332" Properties=species:S:1:pos:R:3 pbc="T T T"
Ce -0.193 0.389 2.400
Ce -3.193 2.834 7.566
Ce -1.197 1.219 4.855
Ce -4.197 2.004 10.021
Ce 1.860 4.822 0.059
Ce -1.140 4.849 5.225
Ce 1.719 1.598 5.107
Ce -1.281 1.625 10.273
Ce 4.775 4.443 0.311
Ce 1.775 5.228 5.477
Ce 3.771 3.613 2.766
Ce 0.771 6.058 7.932
Cd 0.459 3.513 2.666
Cd -2.541 6.158 7.833
Cd 3.120 0.289 2.500
Cd 0.119 2.934 7.666
C 0.000 0.000 0.000
C -3.000 3.224 5.166
```

Energy of formation from the pure elements   -115 meV per atom
Total magnetic moment   0.00 μB per formula unit
Symmetry   No. 14
Uncorrected energy   -5.30 eV/atom
Calculated volume   24.35 Å³ per atom

=====

Record 10
A plane-wave DFT calculation with PBE was carried out for a relaxed structure of Ce3Cd2C.

Geometry as extended XYZ:
```
6
Lattice="2.527 -8.275 0.000 2.527 8.275 0.000 0.000 0.000 3.434" Properties=species:S:1:pos:R:3 pbc="T T T"
Ce 0.000 0.000 0.000
Ce 2.527 1.786 1.717
Ce 2.527 -1.786 1.717
Cd 2.527 4.947 0.000
Cd 2.527 -4.947 0.000
C 2.527 0.000 0.000
```

Energy of formation from the pure elements   -213 meV per atom
Total magnetic moment   1.42 μB per formula unit
Symmetry   No. 65
Uncorrected energy   -5.02 eV/atom
Calculated volume   23.94 Å³ per atom

=====

Record 11
A plane-wave DFT calculation with PBE was carried out for a relaxed structure of Ce2DyCdC.

Geometry as extended XYZ:
```
5
Lattice="4.956 0.000 0.000 0.000 4.956 0.000 0.000 0.000 4.982" Properties=species:S:1:pos:R:3 pbc="T T T"
Ce 0.000 2.478 0.000
Ce 2.478 0.000 0.000
Dy 0.000 0.000 2.491
Cd 2.478 2.478 2.491
C 0.000 0.000 0.000
```

Energy of formation from the pure elements   -201 meV per atom
Total magnetic moment   0.86 μB per formula unit
Symmetry   No. 123
Uncorrected energy   -5.52 eV/atom
Calculated volume   24.48 Å³ per atom

=====

Record 12
A plane-wave DFT calculation with PBE was carried out for a relaxed structure of Ce2CdHgC.

Geometry as extended XYZ:
```
10
Lattice="4.043 0.000 0.000 0.000 4.043 0.000 0.000 0.000 14.246" Properties=species:S:1:pos:R:3 pbc="T T T"
Ce 1.011 1.011 1.160
Ce 1.011 1.011 10.774
Ce 3.033 3.033 3.473
Ce 3.033 3.033 13.087
Cd 1.011 3.033 7.123
Cd 3.033 1.011 7.123
Hg 1.011 1.011 4.870
Hg 3.033 3.033 9.377
C 1.011 1.011 13.061
C 3.033 3.033 1.185
```

Energy of formation from the pure elements   -97 meV per atom
Total magnetic moment   1.53 μB per formula unit
Symmetry   No. 129
Uncorrected energy   -4.56 eV/atom
Calculated volume   23.29 Å³ per atom